Sr2P7I: single point on PBEsol structure, meta-GGA SCAN.

Theoretical density = 3.6 Mg/m³
Formation energy without anion corrections = -0.7672 eV/atom
Spin magnetization = 0.0 μB/f.u.
DOS at the Fermi energy = 0.000 states/eV per atom

Structure (CIF):
```
data_Sr2P7I
_chemical_formula_sum 'Sr8 P28 I4'
_symmetry_space_group_name_H-M 'P 21 3'
_symmetry_Int_Tables_number 198
_symmetry_space_group_name_Hall 'P 2ac 2ab 3'
_cell_length_a 9.830
_cell_length_b 9.830
_cell_length_c 9.830
_cell_angle_alpha 90.00
_cell_angle_beta 90.00
_cell_angle_gamma 90.00
loop_
_atom_site_label
_atom_site_type_symbol
_atom_site_fract_x
_atom_site_fract_y
_atom_site_fract_z
Sr1 Sr 0.099 0.099 0.099
Sr2 Sr 0.154 0.346 0.654
P1 P 0.027 0.642 0.047
P2 P 0.034 0.643 0.689
P3 P 0.220 0.720 0.780
I1 I 0.151 0.849 0.349
```